BaLaP | GGA-PBE | relaxed

Lattice parameters (Å, degrees): 7.3364 7.3364 7.3364 90.00 90.00 90.00
Space group F-43m (No. 216)
Inequivalent atoms, fractional coordinates:
Ba  0.0000  0.0000  0.0000 [4 per cell]
La  0.0000  0.0000  0.5000 [4 per cell]
P  0.2500  0.2500  0.7500 [4 per cell]

## Properties
DOS at the Fermi energy in states/eV/f.u.: 3.08
Energy in eV per atom: -4.797
Polymorph energy (0 for the lowest one) in meV per atom: 135
ΔE_f in eV/f.u.: -2.1

Rb2HoPbF6 | GGA-PBE | relaxed

Lattice parameters (Å, degrees): 6.3347 9.0572 7.8083 90.00 90.00 90.00
Space group Pmmn (No. 59, origin choice 2)
Inequivalent atoms, fractional coordinates:
Rb  0.2500  0.0143  0.1795 [4 per cell]
Ho  0.2500  0.7500  0.7773 [2 per cell]
Pb  0.2500  0.2500  0.6918 [2 per cell]
F  0.0148  0.7500  0.9825 [4 per cell]
F  0.0191  0.2500  0.3916 [4 per cell]
F  0.2500  0.5088  0.7955 [4 per cell]

## Properties
DOS at the Fermi energy in states/eV/f.u.: 0.20
Energy in eV per atom: -5.103
Formation energy from raw total energies in eV/atom: -2.959

K3Zr | GGA-PBE | relaxed

Lattice parameters (Å, degrees): 7.1123 7.1123 7.1123 90.00 90.00 90.00
Space group Pm-3m (No. 221)
Inequivalent atoms, fractional coordinates:
K  0.0000  0.0000  0.5000 [3 per cell]
Zr  0.0000  0.0000  0.0000 [1 per cell]

## Properties
DOS at the Fermi energy in states/eV/f.u.: 8.19
Energy in eV per atom: -1.733
Polymorph energy (0 for the lowest one) in meV per atom: 667
ΔE_f in eV/f.u.: 4.9

Rb2YRhI6 | GGA-PBE | relaxed

Lattice parameters (Å, degrees): 11.8289 11.8289 11.8289 90.00 90.00 90.00
Space group Fm-3m (No. 225)
Inequivalent atoms, fractional coordinates:
Rb  0.2500  0.2500  0.2500 [8 per cell]
Y  0.0000  0.0000  0.0000 [4 per cell]
Rh  0.0000  0.0000  0.5000 [4 per cell]
I  0.0000  0.0000  0.2560 [24 per cell]

## Properties
DOS at the Fermi energy in states/eV/f.u.: 0.00
Energy in eV per atom: -3.508
Formation energy from raw total energies in eV/atom: -1.003